Density functional theory data (PBE-GGA) for an optimized crystal structure of Er3Ti.

Summary:
As for the formation energy: 0.340 eV per atom. The energy is -20.23 eV/f.u. The density of states at the Fermi level is 1.433 states/eV per atom. For the total magnetic moment, the calculation gives 0.0 Bohr magnetons per cell. The space group is Pmm2 (25). As for the relative energy among the computed polymorphs: 175 meV per atom.

Cell lengths 3.2806, 3.2543, 10.4340 Å; angles 90.00, 90.00, 90.00 degrees
Fractional coordinates of all 4 atoms:
Ti 0.0000 0.0000 0.9727
Er 0.0000 0.5000 0.4703
Er 0.5000 0.5000 0.1708
Er 0.5000 0.0000 0.7196

Density functional theory data (PBE-GGA) for an optimized crystal structure of Er2TiTl.

Summary:
As for the formation energy: -0.037 eV per atom. The energy is -19.53 eV/f.u. The density of states at the Fermi level is 1.358 states/eV per atom. For the total magnetic moment, the calculation gives 0.0 Bohr magnetons per cell. The space group is P4/mmm (123). As for the relative energy among the computed polymorphs: 0 meV per atom.

Cell lengths 3.5070, 3.5070, 8.2496 Å; angles 90.00, 90.00, 90.00 degrees
Fractional coordinates of all 4 atoms:
Tl 0.5000 0.5000 0.5000
Ti 0.5000 0.5000 0.0000
Er 0.0000 0.0000 0.7584
Er 0.0000 0.0000 0.2416

Density functional theory data (PBE-GGA) for an optimized crystal structure of Er2TiTl.

Summary:
As for the formation energy: 0.003 eV per atom. The energy is -19.37 eV/f.u. The density of states at the Fermi level is 1.003 states/eV per atom. For the total magnetic moment, the calculation gives 2.9 Bohr magnetons per cell. The space group is Fm-3m (225). As for the relative energy among the computed polymorphs: 40 meV per atom.

Cell lengths 5.2334, 5.2334, 5.2334 Å; angles 60.00, 60.00, 60.00 degrees
Site moments in Bohr magnetons follow the coordinates.
Fractional coordinates of all 4 atoms:
Tl 0.0000 0.0000 0.0000  -0.03
Ti 0.5000 0.5000 0.5000  1.65
Er 0.2500 0.2500 0.2500  0.36
Er 0.7500 0.7500 0.7500  0.36

Density functional theory data (PBE-GGA) for an optimized crystal structure of ErTiTl2.

Summary:
As for the formation energy: -0.017 eV per atom. The energy is -17.26 eV/f.u. The density of states at the Fermi level is 0.828 states/eV per atom. For the total magnetic moment, the calculation gives 1.1 Bohr magnetons per cell. The space group is P4/mmm (123).

Cell lengths 3.6997, 3.6997, 6.9071 Å; angles 90.00, 90.00, 90.00 degrees
Site moments in Bohr magnetons follow the coordinates.
Fractional coordinates of all 4 atoms:
Tl 0.0000 0.0000 0.7722  -0.01
Tl 0.0000 0.0000 0.2278  -0.01
Ti 0.5000 0.5000 0.0000  1.01
Er 0.5000 0.5000 0.5000  -0.09

Density functional theory data (PBE-GGA) for an optimized crystal structure of Er2TiTl.

Summary:
As for the formation energy: 0.338 eV per atom. The energy is -18.03 eV/f.u. The density of states at the Fermi level is 1.053 states/eV per atom. For the total magnetic moment, the calculation gives 2.0 Bohr magnetons per cell. The space group is R-3m (166). As for the relative energy among the computed polymorphs: 375 meV per atom.

Cell lengths 3.3272, 3.3272, 11.3837 Å; angles 81.60, 81.60, 60.00 degrees
Site moments in Bohr magnetons follow the coordinates.
Fractional coordinates of all 4 atoms:
Tl 0.5000 0.5000 0.5000  0.01
Ti 0.0000 0.0000 0.0000  -1.34
Er 0.0870 0.0870 0.7391  -0.13
Er 0.9130 0.9130 0.2609  -0.13

Density functional theory data (PBE-GGA) for an optimized crystal structure of Er2TiTl.

Summary:
As for the formation energy: -0.030 eV per atom. The energy is -19.51 eV/f.u. The density of states at the Fermi level is 0.881 states/eV per atom. For the total magnetic moment, the calculation gives 2.5 Bohr magnetons per cell. The space group is P4/mmm (123). As for the relative energy among the computed polymorphs: 7 meV per atom.

Cell lengths 4.4014, 4.7678, 4.7678 Å; angles 90.00, 90.00, 90.00 degrees
Site moments in Bohr magnetons follow the coordinates.
Fractional coordinates of all 4 atoms:
Tl 0.5000 0.5000 0.5000  -0.04
Ti 0.5000 0.0000 0.0000  1.44
Er 0.0000 0.0000 0.5000  0.32
Er 0.0000 0.5000 0.0000  0.32

Density functional theory data (PBE-GGA) for an optimized crystal structure of ErTiTl2.

Summary:
As for the formation energy: -0.038 eV per atom. The energy is -17.34 eV/f.u. The density of states at the Fermi level is 0.591 states/eV per atom. For the total magnetic moment, the calculation gives 1.7 Bohr magnetons per cell. The space group is P4/mmm (123).

Cell lengths 4.3890, 4.6344, 4.6344 Å; angles 90.00, 90.00, 90.00 degrees
Site moments in Bohr magnetons follow the coordinates.
Fractional coordinates of all 4 atoms:
Tl 0.0000 0.0000 0.5000  -0.01
Tl 0.0000 0.5000 0.0000  -0.01
Ti 0.5000 0.0000 0.0000  1.15
Er 0.5000 0.5000 0.5000  0.25

Density functional theory data (PBE-GGA) for an optimized crystal structure of ErTmTi.

Summary:
As for the formation energy: 0.212 eV per atom. The energy is -16.29 eV/f.u. The density of states at the Fermi level is 1.426 states/eV per atom. For the total magnetic moment, the calculation gives 1.5 Bohr magnetons per cell. The space group is P-6m2 (187). As for the relative energy among the computed polymorphs: 128 meV per atom.

Cell lengths 3.2679, 5.1931, 5.1931 Å; angles 120.00, 90.00, 90.00 degrees
Site moments in Bohr magnetons follow the coordinates.
Fractional coordinates of all 3 atoms:
Tm 0.6667 0.6667 0.3333  0.11
Ti 0.1667 0.3333 0.6667  0.93
Er 0.1667 0.0000 0.0000  0.14

Density functional theory data (PBE-GGA) for an optimized crystal structure of ErTmTi.

Summary:
As for the formation energy: 0.084 eV per atom. The energy is -16.68 eV/f.u. The density of states at the Fermi level is 1.688 states/eV per atom. For the total magnetic moment, the calculation gives 0.0 Bohr magnetons per cell. The space group is P4/nmm (129). As for the relative energy among the computed polymorphs: 0 meV per atom.

Cell lengths 3.5292, 3.5292, 12.5583 Å; angles 90.00, 90.00, 90.00 degrees
Fractional coordinates of all 6 atoms:
Er 0.0000 0.5000 0.5954
Er 0.5000 0.0000 0.4046
Tm 0.5000 0.0000 0.8003
Tm 0.0000 0.5000 0.1997
Ti 0.0000 0.5000 0.9562
Ti 0.5000 0.0000 0.0438

Density functional theory data (PBE-GGA) for an optimized crystal structure of ErTm2Ti.

Summary:
As for the formation energy: 0.152 eV per atom. The energy is -20.79 eV/f.u. The density of states at the Fermi level is 1.628 states/eV per atom. For the total magnetic moment, the calculation gives 0.0 Bohr magnetons per cell. The space group is P4/mmm (123). As for the relative energy among the computed polymorphs: 0 meV per atom.

Cell lengths 3.3574, 3.3574, 9.4119 Å; angles 90.00, 90.00, 90.00 degrees
Fractional coordinates of all 4 atoms:
Tm 0.0000 0.0000 0.7794
Tm 0.0000 0.0000 0.2206
Ti 0.5000 0.5000 0.0000
Er 0.5000 0.5000 0.5000

Density functional theory data (PBE-GGA) for an optimized crystal structure of ErTm2Ti.

Summary:
As for the formation energy: 0.188 eV per atom. The energy is -20.65 eV/f.u. The density of states at the Fermi level is 1.577 states/eV per atom. For the total magnetic moment, the calculation gives 1.0 Bohr magnetons per cell. The space group is P4/mmm (123). As for the relative energy among the computed polymorphs: 36 meV per atom.

Cell lengths 4.7431, 4.7355, 4.7355 Å; angles 90.00, 90.00, 90.00 degrees
Site moments in Bohr magnetons follow the coordinates.
Fractional coordinates of all 4 atoms:
Tm 0.0000 0.0000 0.5000  0.02
Tm 0.0000 0.5000 0.0000  0.02
Ti 0.5000 0.0000 0.0000  0.74
Er 0.5000 0.5000 0.5000  0.02

Density functional theory data (PBE-GGA) for an optimized crystal structure of ErTmTi4.

Summary:
As for the formation energy: 0.227 eV per atom. The energy is -39.25 eV/f.u. The density of states at the Fermi level is 1.330 states/eV per atom. For the total magnetic moment, the calculation gives 9.4 Bohr magnetons per cell. The space group is F-43m (216).

Cell lengths 5.7673, 5.7673, 5.7673 Å; angles 60.00, 60.00, 60.00 degrees
Site moments in Bohr magnetons follow the coordinates.
Fractional coordinates of all 6 atoms:
Tm 0.2500 0.2500 0.2500  0.74
Ti 0.6249 0.6249 0.1254  1.34
Ti 0.6249 0.1254 0.6249  1.34
Ti 0.6249 0.6249 0.6249  1.34
Ti 0.1254 0.6249 0.6249  1.34
Er 0.0000 0.0000 0.0000  0.76

Density functional theory data (PBE-GGA) for an optimized crystal structure of ErTm2Ti.

Summary:
As for the formation energy: 0.173 eV per atom. The energy is -20.71 eV/f.u. The density of states at the Fermi level is 1.632 states/eV per atom. For the total magnetic moment, the calculation gives 0.0 Bohr magnetons per cell. The space group is R3m (160). As for the relative energy among the computed polymorphs: 21 meV per atom.

Cell lengths 3.3787, 3.3787, 10.9306 Å; angles 81.11, 81.11, 60.00 degrees
Fractional coordinates of all 4 atoms:
Er 0.5003 0.5003 0.4991
Tm 0.0760 0.0760 0.7721
Tm 0.2575 0.2575 0.2276
Ti 0.6663 0.6663 0.0012

Density functional theory data (PBE-GGA) for an optimized crystal structure of ErTm2Ti.

Summary:
As for the formation energy: 0.404 eV per atom. The energy is -19.78 eV/f.u. The density of states at the Fermi level is 1.478 states/eV per atom. For the total magnetic moment, the calculation gives 1.9 Bohr magnetons per cell. The space group is R-3m (166). As for the relative energy among the computed polymorphs: 253 meV per atom.

Cell lengths 3.3199, 3.3199, 11.7050 Å; angles 81.85, 81.85, 60.00 degrees
Site moments in Bohr magnetons follow the coordinates.
Fractional coordinates of all 4 atoms:
Tm 0.0844 0.0844 0.7470  0.13
Tm 0.9156 0.9156 0.2530  0.13
Ti 0.0000 0.0000 0.0000  1.31
Er 0.5000 0.5000 0.5000  -0.03

Density functional theory data (PBE-GGA) for an optimized crystal structure of ErUTi.

Summary:
As for the formation energy: 0.183 eV per atom. The energy is -23.20 eV/f.u. The density of states at the Fermi level is 1.769 states/eV per atom. For the total magnetic moment, the calculation gives 0.0 Bohr magnetons per cell. The space group is C2/m (12).

Cell lengths 3.3501, 5.0911, 8.0905 Å; angles 84.63, 101.95, 90.00 degrees
Fractional coordinates of all 6 atoms:
U 0.7448 0.2024 0.4896
U 0.2552 0.7976 0.5104
Ti 0.6209 0.7042 0.2417
Ti 0.3791 0.2958 0.7583
Er 0.9354 0.7731 0.8707
Er 0.0646 0.2269 0.1293

Density functional theory data (PBE-GGA) for an optimized crystal structure of ErTiV.

Summary:
As for the formation energy: 0.201 eV per atom. The energy is -20.97 eV/f.u. The density of states at the Fermi level is 1.551 states/eV per atom. For the total magnetic moment, the calculation gives 0.0 Bohr magnetons per cell. The space group is I4/mmm (139).

Cell lengths 3.1213, 3.1213, 12.7931 Å; angles 97.01, 97.01, 90.00 degrees
Fractional coordinates of all 6 atoms:
V 0.2761 0.2761 0.5522
V 0.7239 0.7239 0.4478
Ti 0.1606 0.1606 0.3212
Ti 0.8394 0.8394 0.6788
Er 0.5679 0.5679 0.1358
Er 0.4321 0.4321 0.8642

Density functional theory data (PBE-GGA) for an optimized crystal structure of ErTiV4.

Summary:
As for the formation energy: 0.259 eV per atom. The energy is -47.38 eV/f.u. The density of states at the Fermi level is 2.577 states/eV per atom. For the total magnetic moment, the calculation gives 0.0 Bohr magnetons per cell. The space group is F-43m (216).

Cell lengths 5.1870, 5.1870, 5.1870 Å; angles 60.00, 60.00, 60.00 degrees
Fractional coordinates of all 6 atoms:
V 0.6253 0.6253 0.1240
V 0.6253 0.1240 0.6253
V 0.6253 0.6253 0.6253
V 0.1240 0.6253 0.6253
Ti 0.2500 0.2500 0.2500
Er 0.0000 0.0000 0.0000

Density functional theory data (PBE-GGA) for an optimized crystal structure of ErTiW4.

Summary:
As for the formation energy: 0.100 eV per atom. The energy is -63.67 eV/f.u. The density of states at the Fermi level is 0.840 states/eV per atom. For the total magnetic moment, the calculation gives 0.0 Bohr magnetons per cell. The space group is F-43m (216).

Cell lengths 5.4078, 5.4078, 5.4078 Å; angles 60.00, 60.00, 60.00 degrees
Fractional coordinates of all 6 atoms:
Ti 0.0000 0.0000 0.0000
W 0.6249 0.6249 0.1254
W 0.6249 0.1254 0.6249
W 0.6249 0.6249 0.6249
W 0.1254 0.6249 0.6249
Er 0.2500 0.2500 0.2500

Density functional theory data (PBE-GGA) for an optimized crystal structure of YErTi.

Summary:
As for the formation energy: 0.102 eV per atom. The energy is -18.62 eV/f.u. The density of states at the Fermi level is 1.731 states/eV per atom. For the total magnetic moment, the calculation gives 0.0 Bohr magnetons per cell. The space group is P4/nmm (129).

Cell lengths 3.5548, 3.5548, 12.7140 Å; angles 90.00, 90.00, 90.00 degrees
Fractional coordinates of all 6 atoms:
Er 0.0000 0.5000 0.5930
Er 0.5000 0.0000 0.4070
Y 0.5000 0.0000 0.7992
Y 0.0000 0.5000 0.2008
Ti 0.0000 0.5000 0.9574
Ti 0.5000 0.0000 0.0426

Density functional theory data (PBE-GGA) for an optimized crystal structure of YEr2Ti.

Summary:
As for the formation energy: 0.195 eV per atom. The energy is -22.70 eV/f.u. The density of states at the Fermi level is 1.454 states/eV per atom. For the total magnetic moment, the calculation gives 0.0 Bohr magnetons per cell. The space group is R-3m (166). As for the relative energy among the computed polymorphs: 38 meV per atom.

Cell lengths 3.3811, 3.3811, 11.1589 Å; angles 81.29, 81.29, 60.00 degrees
Fractional coordinates of all 4 atoms:
Y 0.5000 0.5000 0.5000
Ti 0.0000 0.0000 0.0000
Er 0.2586 0.2586 0.2243
Er 0.7414 0.7414 0.7757